(1)
Compound: NaTl
Source: Alexandria via LeMat-Bulk
Functional: PBE-GGA
Structure: relaxed

Theoretical density   5.83 g/cm³
ΔE_f   0.11 eV per formula unit
Spin magnetization   0.00 μB per cell
Calculated volume   32.395 A^3/atom
Fermi-level density of states   1.20 states/eV per cell
Symmetry   No. 225

Geometry as extended XYZ:
```
2
Lattice="0.0000 3.1878 3.1878 3.1878 0.0000 3.1878 3.1878 3.1878 0.0000" Properties=species:S:1:pos:R:3 pbc="T T T"
Na 0.0000 0.0000 0.0000
Tl 3.1878 3.1878 3.1878
```



(2)
Compound: AcLaPr4Se8
Source: Alexandria via LeMat-Bulk
Functional: PBE-GGA
Structure: relaxed

Theoretical density   5.28 g/cm³
Spin magnetization   0.00 μB per cell
Calculated volume   35.048 A^3/atom
Fermi-level density of states   9.25 states/eV per cell
Symmetry   No. 160
Formation energy from raw total energies   -1.7631 eV per atom

Geometry as extended XYZ:
```
14
Lattice="4.4123 2.5474 7.2758 -4.4123 2.5474 7.2758 0.0000 -5.0948 7.2758" Properties=species:S:1:pos:R:3 pbc="T T T"
Ac 0.0000 0.0000 0.0000
La 0.0000 0.0000 8.1951
Pr 0.0000 -2.5025 11.7902
Pr -2.1673 1.2513 11.7902
Pr 0.0000 0.0000 16.3447
Pr 2.1673 1.2513 11.7902
Se 0.0000 -2.3178 6.2499
Se -2.0073 1.1589 6.2499
Se 0.0000 0.0000 2.9640
Se -2.0893 -1.2063 10.0430
Se 2.0073 1.1589 6.2499
Se 2.0893 -1.2063 10.0430
Se 0.0000 2.4125 10.0430
Se 0.0000 0.0000 13.4851
```



(3)
Compound: CaPd3C
Source: Alexandria via LeMat-Bulk
Functional: PBE-GGA
Structure: relaxed

Theoretical density   5.08 g/cm³
ΔE_f   10.59 eV per formula unit
Spin magnetization   1.85 μB per cell
Calculated volume   24.299 A^3/atom
Fermi-level density of states   3.85 states/eV per cell
Symmetry   No. 221
Relative energy among the computed polymorphs   2299 meV/atom

Geometry as extended XYZ:
```
5
Lattice="4.9529 0.0000 0.0000 0.0000 4.9529 0.0000 0.0000 0.0000 4.9529" Properties=species:S:1:pos:R:3 pbc="T T T"
Ca 0.0000 0.0000 0.0000
Pd 0.0000 0.0000 2.4764
Pd 0.0000 2.4764 0.0000
Pd 2.4764 0.0000 0.0000
C 2.4764 2.4764 2.4764
```



(4)
Compound: FeSb3N
Source: Alexandria via LeMat-Bulk
Functional: PBE-GGA
Structure: relaxed

Theoretical density   6.52 g/cm³
Spin magnetization   0.00 μB per cell
Calculated volume   22.162 A^3/atom
Fermi-level density of states   4.37 states/eV per cell
Symmetry   No. 221
Relative energy among the computed polymorphs   424 meV/atom
Formation energy from raw total energies   1.2578 eV per atom

Geometry as extended XYZ:
```
5
Lattice="4.8031 0.0000 0.0000 0.0000 4.8031 0.0000 0.0000 0.0000 4.8031" Properties=species:S:1:pos:R:3 pbc="T T T"
Fe 0.0000 0.0000 0.0000
Sb 0.0000 0.0000 2.4016
Sb 0.0000 2.4016 0.0000
Sb 2.4016 0.0000 0.0000
N 2.4016 2.4016 2.4016
```



(5)
Compound: TaI2Br
Source: Alexandria via LeMat-Bulk
Functional: PBE-GGA
Structure: relaxed

Theoretical density   5.42 g/cm³
Spin magnetization   0.00 μB per cell
Calculated volume   39.447 A^3/atom
Fermi-level density of states   2.48 states/eV per cell
Symmetry   No. 1
Relative energy among the computed polymorphs   110 meV/atom
Formation energy from raw total energies   -0.3664 eV per atom

Geometry as extended XYZ:
```
8
Lattice="6.9091 0.0000 0.0000 2.9734 6.4791 0.0000 3.2940 1.7145 7.0496" Properties=species:S:1:pos:R:3 pbc="T T T"
Ta 0.0000 0.0000 0.0000
Ta 5.5567 3.0487 6.8507
I 4.3646 6.7774 2.3576
I 8.4701 6.8369 6.0194
I 8.6833 3.9422 0.7928
I 10.1276 3.3706 4.9800
Br 6.6484 3.8024 4.6825
Br 4.7525 1.1756 1.0369
```



(6)
Compound: Y2ScSb
Source: Alexandria via LeMat-Bulk
Functional: PBE-GGA
Structure: relaxed

Theoretical density   4.97 g/cm³
Spin magnetization   0.00 μB per cell
Calculated volume   28.781 A^3/atom
Fermi-level density of states   5.04 states/eV per cell
Symmetry   No. 166
Formation energy from raw total energies   -0.2481 eV per atom

Geometry as extended XYZ:
```
4
Lattice="1.8011 1.0399 10.2444 -1.8011 1.0399 10.2444 0.0000 -2.0798 10.2444" Properties=species:S:1:pos:R:3 pbc="T T T"
Y 0.0000 0.0000 7.5491
Y 0.0000 0.0000 23.1842
Sc 0.0000 0.0000 0.0000
Sb 0.0000 0.0000 15.3666
```



(7)
Compound: LiIn2Rh
Source: Alexandria via LeMat-Bulk
Functional: PBE-GGA
Structure: relaxed

Theoretical density   6.70 g/cm³
ΔE_f   -0.89 eV per formula unit
Spin magnetization   0.00 μB per cell
Calculated volume   21.023 A^3/atom
Fermi-level density of states   2.53 states/eV per cell
Symmetry   No. 160
Relative energy among the computed polymorphs   195 meV/atom

Geometry as extended XYZ:
```
4
Lattice="2.1950 1.2673 5.0385 -2.1950 1.2673 5.0385 0.0000 -2.5346 5.0385" Properties=species:S:1:pos:R:3 pbc="T T T"
Li 0.0000 0.0000 0.0000
In 0.0000 0.0000 8.7092
In 0.0000 0.0000 11.7789
Rh 0.0000 0.0000 2.8027
```



(8)
Compound: K2SrThTe4
Source: Alexandria via LeMat-Bulk
Functional: PBE-GGA
Structure: relaxed

Theoretical density   4.76 g/cm³
Spin magnetization   0.00 μB per cell
Calculated volume   39.635 A^3/atom
Symmetry   No. 10
Formation energy from raw total energies   -1.3686 eV per atom

Geometry as extended XYZ:
```
8
Lattice="8.1903 0.0000 0.0000 0.0000 4.7057 0.0000 -2.6719 0.0000 8.2271" Properties=species:S:1:pos:R:3 pbc="T T T"
K 0.0000 0.0000 0.0000
K 4.0951 2.3528 0.0000
Sr -1.3360 2.3528 4.1135
Th 2.7592 0.0000 4.1135
Te 0.1972 0.0000 5.9009
Te 1.5052 2.3528 2.3553
Te 4.0131 2.3528 5.8718
Te 5.3212 0.0000 2.3262
```